DFT (PBE-GGA) results for a geometry-optimized GdInRh structure.

Values from the calculation:
ΔH_f (0 K)	-561	meV per atom
D(E_F)	0.792	states/eV per atom

Cell lengths 3.3924, 3.3924, 11.2886 Å; angles 90.00, 90.00, 90.00 degrees
Space group I4mm (No. 107)
Inequivalent atoms, fractional coordinates:
Gd  0.0000  0.0000  0.0000
In  0.0000  0.0000  0.7115
Rh  0.0000  0.0000  0.3455

DFT (PBE-GGA) results for a geometry-optimized GdInRh structure.

Values from the calculation:
ΔH_f (0 K)	-536	meV per atom
D(E_F)	0.781	states/eV per atom

Cell lengths 4.7085, 4.7085, 3.4664 Å; angles 90.00, 90.00, 120.00 degrees
Space group P-6m2 (No. 187)
Inequivalent atoms, fractional coordinates:
Gd  0.0000  0.0000  0.0000
In  0.6667  0.3333  0.5000
Rh  0.3333  0.6667  0.5000